1.
PBE Sr2H2Pd, optimized geometry; total magnetic moment = 0.000 μB/f.u.; VASP energy = -34.141 eV/cell; SG = P4/mbm (127)
1.0
7.347 0.000 0.000
0.000 7.347 0.000
0.000 0.000 3.365
Sr H Pd
4 4 2
Cartesian
1.307 2.367 0.000
2.367 6.040 0.000
4.981 1.307 0.000
6.040 4.981 0.000
0.880 4.554 1.683
2.794 0.880 1.683
4.554 6.467 1.683
6.467 2.794 1.683
0.000 0.000 1.683
3.674 3.674 1.683

2.
PBE RbLaZnS, optimized geometry; total magnetic moment = 0.001 μB/f.u.; VASP energy = -14.571 eV/cell; ΔE_f (raw) = -0.8186 eV/atom; SG = Pm (6)
1.0
3.988 0.000 0.000
0.000 3.915 0.000
-1.973 0.000 8.067
Rb La Zn S
1 1 1 1
Cartesian
0.000 0.000 0.000
0.000 0.000 4.142
1.995 1.957 2.310
1.994 1.957 5.115

3.
PBE CeHg2Pb, optimized geometry; energy of formation = -0.232 eV/atom; total magnetic moment = 1.411 μB/f.u.; VASP energy = -11.174 eV/cell; SG = P4/mmm (123)
1.0
3.822 0.000 0.000
0.000 3.822 0.000
0.000 0.000 7.578
Ce Hg Pb
1 2 1
Cartesian
0.000 0.000 0.000
1.911 1.911 1.894
1.911 1.911 5.684
0.000 0.000 3.789

4.
PBE Sc2Be2GeRh5, optimized geometry; energy of formation = -0.861 eV/atom; total magnetic moment = 0.000 μB/f.u.; VASP energy = -140.196 eV/cell; SG = P4/mbm (127)
1.0
9.476 0.000 0.000
0.000 9.476 0.000
0.000 0.000 3.088
Sc Be Ge Rh
4 4 2 10
Cartesian
1.651 3.087 0.000
3.087 7.825 0.000
6.389 1.651 0.000
7.825 6.389 0.000
1.170 5.908 0.000
3.568 1.170 0.000
5.908 8.306 0.000
8.306 3.568 0.000
0.000 0.000 0.000
4.738 4.738 0.000
0.000 4.738 1.544
0.657 7.509 1.544
1.967 0.657 1.544
2.771 5.395 1.544
4.081 2.771 1.544
4.738 0.000 1.544
5.395 6.705 1.544
6.705 4.081 1.544
7.509 8.819 1.544
8.819 1.967 1.544